This record from the Alexandria database describes crystalline YErLuPu at its relaxed geometry. The functional is PBE.

Summary:
ρ   9.3 Mg/m³
Crystal system   cubic
E_tot   -29.16 eV/cell

Lattice parameters (Å, degrees): 5.5391 5.5391 5.5391 60.00 60.00 60.00
Closest atoms and distances in Å follow each position.
Element x y z (fractional)
Er: 0.0000 0.0000 0.0000  4 Pu 3.39, 4 Y 3.39
Y: 0.2500 0.2500 0.2500  4 Er 3.39, 4 Lu 3.39
Lu: 0.5000 0.5000 0.5000  4 Y 3.39, 4 Pu 3.39
Pu: 0.7500 0.7500 0.7500  4 Lu 3.39, 4 Er 3.39

This record from the Alexandria database describes crystalline PmSn6Rh at its relaxed geometry. The functional is PBE.

Summary:
ρ   7.8 Mg/m³
Relative energy among the computed polymorphs   0.00 eV/f.u.
Crystal system   orthorhombic
E_tot   -38.43 eV/cell

Lattice parameters (Å, degrees): 4.3671 6.8898 6.8898 101.47 90.00 90.00
Closest atoms and distances in Å follow each position.
Element x y z (fractional)
Pm: 0.5000 0.1042 0.8958  12 Sn 3.23-3.55
Sn: 0.5000 0.1281 0.3938  1 Rh 2.74, 2 Sn 3.04
Sn: 0.5000 0.6062 0.8719  1 Rh 2.74, 2 Sn 3.04
Sn: 0.0000 0.4306 0.2106  2 Rh 2.95, 2 Sn 3.13-3.29
Sn: 0.0000 0.7894 0.5694  2 Rh 2.95, 2 Sn 3.13-3.29
Sn: 0.0000 0.3362 0.6638  6 Sn 3.04-3.31, 2 Pm 3.30
Sn: 0.0000 0.8814 0.1186  2 Rh 2.76
Rh: 0.5000 0.7238 0.2762  8 Sn 2.74-2.95

This record from the Alexandria database describes crystalline Al5Zn2Ag4 at its relaxed geometry. The functional is PBE.

Summary:
ρ   6.1 Mg/m³
Relative energy among the computed polymorphs   0.00 eV/f.u.
Crystal system   monoclinic
E_tot   -32.80 eV/cell

Lattice parameters (Å, degrees): 3.1760 6.5180 9.2651 94.27 99.87 90.00
Closest atoms and distances in Å follow each position.
Element x y z (fractional)
Al: 0.8161 0.5135 0.6323  4 Ag 2.66-2.75, 2 Zn 2.79, 2 Al 2.88
Al: 0.1839 0.4865 0.3677  4 Ag 2.66-2.75, 2 Zn 2.79, 2 Al 2.88
Al: 0.8686 0.9807 0.7371  4 Ag 2.64-2.76, 2 Zn 2.85, 2 Al 2.87
Al: 0.5000 0.0000 0.0000  2 Zn 2.70, 4 Ag 2.74, 4 Al 2.87
Al: 0.1314 0.0193 0.2629  4 Ag 2.64-2.76, 2 Zn 2.85, 2 Al 2.87
Zn: 0.4180 0.3273 0.8360  5 Al 2.70-2.85, 5 Ag 2.74-2.82
Zn: 0.5820 0.6727 0.1640  5 Al 2.70-2.85, 5 Ag 2.74-2.82
Ag: 0.2731 0.1810 0.5462  6 Al 2.67-2.76, 1 Zn 2.74, 2 Ag 2.91
Ag: 0.9547 0.6727 0.9094  4 Al 2.64-2.74, 4 Zn 2.79-2.82, 1 Ag 2.89
Ag: 0.7269 0.8190 0.4538  6 Al 2.67-2.76, 1 Zn 2.74, 2 Ag 2.91
Ag: 0.0453 0.3273 0.0906  4 Al 2.64-2.74, 4 Zn 2.79-2.82, 1 Ag 2.89

This record from the Alexandria database describes crystalline Ac5Hg4Pd at its relaxed geometry. The functional is PBE.

Summary:
ρ   10.6 Mg/m³
Crystal system   tetragonal
E_tot   -32.19 eV/cell

Lattice parameters (Å, degrees): 3.9859 3.9859 20.1322 90.00 90.00 90.00
Closest atoms and distances in Å follow each position.
Element x y z (fractional)
Ac: 0.5000 0.5000 0.0893  4 Pd 3.34, 4 Hg 3.53, 1 Ac 3.60
Ac: 0.5000 0.5000 0.2949  8 Hg 3.46-3.49
Ac: 0.5000 0.5000 0.5000  8 Hg 3.50
Ac: 0.5000 0.5000 0.7051  8 Hg 3.46-3.49
Ac: 0.5000 0.5000 0.9107  4 Pd 3.34, 4 Hg 3.53, 1 Ac 3.60
Hg: 0.0000 0.0000 0.1952  8 Ac 3.46-3.53
Hg: 0.0000 0.0000 0.3969  8 Ac 3.49-3.50
Hg: 0.0000 0.0000 0.6031  8 Ac 3.49-3.50
Hg: 0.0000 0.0000 0.8048  8 Ac 3.46-3.53
Pd: 0.0000 0.0000 0.0000  8 Ac 3.34

Please write out number 3 again, unchanged.
This record from the Alexandria database describes crystalline Al5Zn2Ag4 at its relaxed geometry. The functional is PBE.

Summary:
ρ   6.1 Mg/m³
Relative energy among the computed polymorphs   0.00 eV/f.u.
Crystal system   monoclinic
E_tot   -32.80 eV/cell

Lattice parameters (Å, degrees): 3.1760 6.5180 9.2651 94.27 99.87 90.00
Closest atoms and distances in Å follow each position.
Element x y z (fractional)
Al: 0.8161 0.5135 0.6323  4 Ag 2.66-2.75, 2 Zn 2.79, 2 Al 2.88
Al: 0.1839 0.4865 0.3677  4 Ag 2.66-2.75, 2 Zn 2.79, 2 Al 2.88
Al: 0.8686 0.9807 0.7371  4 Ag 2.64-2.76, 2 Zn 2.85, 2 Al 2.87
Al: 0.5000 0.0000 0.0000  2 Zn 2.70, 4 Ag 2.74, 4 Al 2.87
Al: 0.1314 0.0193 0.2629  4 Ag 2.64-2.76, 2 Zn 2.85, 2 Al 2.87
Zn: 0.4180 0.3273 0.8360  5 Al 2.70-2.85, 5 Ag 2.74-2.82
Zn: 0.5820 0.6727 0.1640  5 Al 2.70-2.85, 5 Ag 2.74-2.82
Ag: 0.2731 0.1810 0.5462  6 Al 2.67-2.76, 1 Zn 2.74, 2 Ag 2.91
Ag: 0.9547 0.6727 0.9094  4 Al 2.64-2.74, 4 Zn 2.79-2.82, 1 Ag 2.89
Ag: 0.7269 0.8190 0.4538  6 Al 2.67-2.76, 1 Zn 2.74, 2 Ag 2.91
Ag: 0.0453 0.3273 0.0906  4 Al 2.64-2.74, 4 Zn 2.79-2.82, 1 Ag 2.89